# 1
La4Y5Ho2: optimized geometry, PBE.

a = 12.227 Å, b = 12.227 Å, c = 8.975 Å
α = 99.11°, β = 99.11°, γ = 16.71°
Element x y z (fractional)
1 La 0.028 0.028 0.184
2 La 0.370 0.370 0.961
3 La 0.630 0.630 0.039
4 La 0.972 0.972 0.816
5 Y 0.181 0.181 0.409
6 Y 0.232 0.232 0.824
7 Y 0.500 0.500 0.500
8 Y 0.768 0.768 0.176
9 Y 0.819 0.819 0.591
10 Ho 0.101 0.101 0.698
11 Ho 0.899 0.899 0.302

Computed properties:
total energy: -58.89 eV for the cell shown
offset from the most stable computed form: 119.6 meV/atom

=====

# 2
LiTb2Bi: optimized geometry, PBE.

a = 6.587 Å, b = 6.587 Å, c = 6.587 Å
α = 117.13°, β = 98.33°, γ = 113.52°
Element x y z (fractional)
1 Li 0.288 0.038 0.250
2 Li 0.712 0.962 0.750
3 Tb 0.226 0.000 0.726
4 Tb 0.226 0.500 0.226
5 Tb 0.774 0.000 0.274
6 Tb 0.774 0.500 0.774
7 Bi 0.289 0.539 0.750
8 Bi 0.711 0.461 0.250

Computed properties:
total energy: -33.21 eV for the cell shown
offset from the most stable computed form: 0.0 meV/atom

=====

# 3
LiZr2CrCo: optimized geometry, PBE.

a = 4.700 Å, b = 4.700 Å, c = 4.425 Å
α = 90.00°, β = 90.00°, γ = 90.00°
Element x y z (fractional)
1 Li 0.000 0.000 0.000
2 Zr 0.000 0.500 0.500
3 Zr 0.500 0.000 0.500
4 Cr 0.000 0.000 0.500
5 Co 0.500 0.500 0.000

Computed properties:
total energy: -31.04 eV for the cell shown

=====

| no. | ΔE_f (meV per atom) |
| --- | --- |
| 1 | 209 |
| 2 | -388 |
| 3 | 941 |